No. 1
First-principles (PBE-GGA) data for a geometry-optimized FeCoH structure, as listed in the Alexandria database.

Structure (CIF):
```
data_FeCoH
_cell_length_a 2.5282
_cell_length_b 2.5282
_cell_length_c 4.4958
_cell_angle_alpha 106.33
_cell_angle_beta 106.33
_cell_angle_gamma 90.00
_symmetry_space_group_name_H-M 'P 1'
_symmetry_Int_Tables_number 1
loop_
_symmetry_equiv_pos_as_xyz
'x,y,z'
loop_
_atom_site_label
_atom_site_type_symbol
_atom_site_fract_x
_atom_site_fract_y
_atom_site_fract_z
H1 H 0.2531 0.2531 0.5062
Co1 Co 0.7339 0.7339 0.4678
Fe1 Fe 0.0130 0.0130 0.0261
```

***

No. 2
First-principles (PBE-GGA) data for a geometry-optimized FeCoH2 structure, as listed in the Alexandria database.

Structure (CIF):
```
data_FeCoH2
_cell_length_a 4.5612
_cell_length_b 4.5391
_cell_length_c 5.8948
_cell_angle_alpha 104.95
_cell_angle_beta 105.09
_cell_angle_gamma 109.18
_symmetry_space_group_name_H-M 'P 1'
_symmetry_Int_Tables_number 1
loop_
_symmetry_equiv_pos_as_xyz
'x,y,z'
loop_
_atom_site_label
_atom_site_type_symbol
_atom_site_fract_x
_atom_site_fract_y
_atom_site_fract_z
Fe1 Fe 0.3125 0.0625 0.6250
Fe2 Fe 0.5620 0.3120 0.1239
Fe3 Fe 0.6875 0.9375 0.3750
Fe4 Fe 0.4380 0.6880 0.8761
Co1 Co 0.9358 0.1858 0.8716
Co2 Co 0.0642 0.8142 0.1284
Co3 Co 0.1890 0.4390 0.3779
Co4 Co 0.8110 0.5610 0.6221
H1 H 0.6976 0.4399 0.8739
H2 H 0.1763 0.9340 0.8739
H3 H 0.3024 0.5601 0.1261
H4 H 0.8237 0.0660 0.1261
H5 H 0.9417 0.6849 0.3757
H6 H 0.5660 0.8092 0.6243
H7 H 0.0583 0.3151 0.6243
H8 H 0.4340 0.1908 0.3757
```

***

No. 3
First-principles (PBE-GGA) data for a geometry-optimized Fe3CoH structure, as listed in the Alexandria database.

Structure (CIF):
```
data_Fe3CoH
_cell_length_a 5.0274
_cell_length_b 5.0274
_cell_length_c 5.6039
_cell_angle_alpha 56.14
_cell_angle_beta 56.14
_cell_angle_gamma 67.38
_symmetry_space_group_name_H-M 'P 1'
_symmetry_Int_Tables_number 1
loop_
_symmetry_equiv_pos_as_xyz
'x,y,z'
loop_
_atom_site_label
_atom_site_type_symbol
_atom_site_fract_x
_atom_site_fract_y
_atom_site_fract_z
Fe1 Fe 0.9999 0.5000 0.7602
Fe2 Fe 0.5000 0.9999 0.7602
Fe3 Fe 0.5000 0.0001 0.2398
Fe4 Fe 0.4777 0.4777 0.2724
Fe5 Fe 0.0001 0.5000 0.2398
Fe6 Fe 0.5223 0.5223 0.7276
Co1 Co 0.0307 0.0307 0.7193
Co2 Co 0.9693 0.9693 0.2807
H1 H 0.7567 0.7567 0.9937
H2 H 0.2433 0.2433 0.0063
```

***

Number 1: spin magnetization 3.55 μB/f.u., D(E_F) 3.18 states/eV/f.u., calculated total energy -6.033 eV/atom. Number 2: spin magnetization 3.17 μB/f.u., D(E_F) 2.29 states/eV/f.u., calculated total energy -5.582 eV/atom. Number 3: spin magnetization 9.15 μB/f.u., D(E_F) 3.24 states/eV/f.u., calculated total energy -7.151 eV/atom.